No. 1
{
  "formula": "Na2GeTeN",
  "functional": "GGA-PBE",
  "state": "optimized geometry",
  "cell": [[5.806, 0.000, 0.000], [0.000, 5.806, 0.000], [0.000, 0.000, 5.329]],
  "species": ["Na", "Na", "Ge", "Te", "N"],
  "fractional_positions": [[0.000, 0.500, 0.000], [0.500, 0.000, 0.000], [0.000, 0.000, 0.000], [0.000, 0.000, 0.500], [0.500, 0.500, 0.500]],
  "formation_energy_uncorrected_ev_per_atom": 0.94,
  "magmom_total_mub_per_cell": 2.52
}

***

No. 2
{
  "formula": "Ca2SbPb",
  "functional": "GGA-PBE",
  "state": "optimized geometry",
  "cell": [[-4.307, 4.307, 3.526], [4.307, -4.307, 3.526], [4.307, 4.307, -3.526]],
  "species": ["Ca", "Ca", "Ca", "Ca", "Sb", "Sb", "Pb", "Pb"],
  "fractional_positions": [[0.108, 0.625, 0.983], [0.375, 0.358, 0.483], [0.642, 0.125, 0.017], [0.875, 0.892, 0.517], [0.000, 0.000, 0.000], [0.750, 0.250, 0.500], [0.250, 0.750, 0.500], [0.500, 0.500, 0.000]],
  "formation_energy_uncorrected_ev_per_atom": -0.45,
  "magmom_total_mub_per_cell": 0.00,
  "relative_energy_mev_per_atom": 240.4
}

***

Number 1: DOS(E_F) 3.26 states/eV per cell. Number 2: DOS(E_F) 5.13 states/eV per cell.